Computed, not measured: Sr3InAu3 after structural relaxation at the GGA-PBE level of DFT.

Density of states at the Fermi level, states/eV/cell: 7.304
SG: C2/m
M_tot, μB/f.u.: 0.000
Formation energy from the elements, eV/atom: -0.6936

Lattice parameters (Å, degrees): 4.5453 6.5239 14.9641 84.29 81.26 69.61
Positions (direct):
Au (0.1115, 0.8537, 0.9232)
Au (0.9744, 0.8193, 0.2319)
Au (0.8885, 0.1463, 0.0768)
Au (0.0256, 0.1807, 0.7681)
Au (0.1249, 0.2942, 0.4560)
Au (0.8751, 0.7058, 0.5440)
In (0.7649, 0.0658, 0.4044)
In (0.2351, 0.9342, 0.5956)
Sr (0.6059, 0.7115, 0.0767)
Sr (0.3941, 0.2885, 0.9233)
Sr (0.2619, 0.2479, 0.2283)
Sr (0.7381, 0.7521, 0.7717)
Sr (0.5167, 0.3466, 0.6199)
Sr (0.4833, 0.6534, 0.3801)